VASP calculation (PBE) on a relaxed Pm2DyRh crystal.

Structure (CIF):
```
data_Pm2DyRh
_cell_length_a 3.8852
_cell_length_b 3.8852
_cell_length_c 27.9077
_cell_angle_alpha 90.00
_cell_angle_beta 90.00
_cell_angle_gamma 120.00
_space_group_name_H-M_alt 'R 3 m'
_space_group_IT_number 160
_space_group_name_Hall 'R 3 -2"'
loop_
_atom_site_label
_atom_site_type_symbol
_atom_site_fract_x
_atom_site_fract_y
_atom_site_fract_z
Pm1 Pm 0.0000 0.0000 0.0000
Pm2 Pm 0.0000 0.0000 0.2115
Dy1 Dy 0.0000 0.0000 0.4398
Rh1 Rh 0.0000 0.0000 0.6054
```

Values from the calculation:
ΔH_f (0 K): -266 meV/atom
density: 7.6 g cm⁻³
raw total energy: -5.630 eV/atom
magnetization: 0.58 μB per formula unit